(1)
# Cd2PdCl

A geometry-optimized Cd2PdCl structure (GGA-PBE, the Alexandria database).

Values from the calculation:
- ΔE_f (raw): -0.17 eV/atom
- Magnetization: 0.00 μB per formula unit
- Offset from the most stable computed form: 0.0 meV/atom
- Energy: -2.39 eV per atom

a b c (Å): 7.391 7.391 6.191
angles (deg): 53.35 53.35 90.00
Element x y z (fractional)
1 Cl 0.250 0.750 0.500
2 Cd 0.631 0.125 0.250
3 Cd 0.119 0.625 0.250
4 Pd 0.750 0.250 0.500
5 Cd 0.375 0.369 0.750
6 Pd 0.000 0.000 0.000
7 Cd 0.875 0.881 0.750
8 Cl 0.500 0.500 0.000

(2)
# Rb2CdPdCl

A geometry-optimized Rb2CdPdCl structure (GGA-PBE, the Alexandria database).

Values from the calculation:
- ΔE_f (raw): 0.09 eV/atom
- Magnetization: 0.00 μB per formula unit
- Energy: -1.89 eV per atom

a b c (Å): 6.936 5.329 6.936
angles (deg): 90.00 90.00 90.00
Element x y z (fractional)
1 Cl 0.000 0.500 0.000
2 Rb 0.000 0.000 0.500
3 Rb 0.500 0.000 0.000
4 Pd 0.500 0.500 0.500
5 Cd 0.000 0.000 0.000

(3)
# CdPdS2Cl

A geometry-optimized CdPdS2Cl structure (GGA-PBE, the Alexandria database).

Values from the calculation:
- ΔE_f (raw): 0.12 eV/atom
- Magnetization: 0.00 μB per formula unit
- Offset from the most stable computed form: 0.0 meV/atom
- Energy: -3.12 eV per atom

a b c (Å): 4.763 4.763 4.791
angles (deg): 90.00 90.00 90.00
Element x y z (fractional)
1 S 0.500 0.000 0.000
2 Pd 0.000 0.000 0.000
3 Cd 0.500 0.500 0.500
4 S 0.000 0.500 0.000
5 Cl 0.000 0.000 0.500

(4)
# Tl2CdPdCl6

A geometry-optimized Tl2CdPdCl6 structure (GGA-PBE, the Alexandria database).

Values from the calculation:
- ΔE_f (raw): -0.80 eV/atom
- Magnetization: 1.06 μB per formula unit
- Energy: -2.99 eV per atom

a b c (Å): 7.165 7.165 13.183
angles (deg): 74.23 74.23 60.00
Last column: magnetic moment on the atom in μB.
Element x y z (fractional)
1 Tl 0.865 0.865 0.404  0.00
2 Tl 0.302 0.302 0.093  0.00
3 Cl 0.203 0.706 0.887  0.00
4 Cl 0.624 0.624 0.622  0.11
5 Cl 0.797 0.294 0.113  0.00
6 Cl 0.797 0.797 0.113  0.00
7 Tl 0.135 0.135 0.596  0.00
8 Pd 0.500 0.500 0.500  1.17
9 Cl 0.706 0.203 0.887  0.00
10 Cl 0.294 0.797 0.113  0.00
11 Cl 0.376 0.376 0.378  0.11
12 Cd 0.586 0.586 0.243  0.00
13 Cl 0.376 0.870 0.378  0.11
14 Tl 0.698 0.698 0.907  0.00
15 Cl 0.203 0.203 0.887  0.00
16 Cd 0.414 0.414 0.757  0.00
17 Pd 0.000 0.000 0.000  0.05
18 Cl 0.624 0.130 0.622  0.11
19 Cl 0.870 0.376 0.378  0.11
20 Cl 0.130 0.624 0.622  0.11

Q: Which of these has the highest magnetization?
A: Tl2CdPdCl6